! CaTl2Te GGA-PBEsol optimized geometry; values from VASP
&SYSTEM
  ibrav = 0, nat = 4, ntyp = 3
/
ATOMIC_SPECIES
Ca 40.08 Ca.upf
Tl 204.38 Tl.upf
Te 127.60 Te.upf
ATOMIC_POSITIONS crystal
Ca 0.000 0.000 0.000
Tl 0.250 0.250 0.250
Tl 0.500 0.500 0.500
Te 0.750 0.750 0.750
CELL_PARAMETERS angstrom
0.000 3.847 3.847
3.847 0.000 3.847
3.847 3.847 0.000
! Calculated total energy ... -3.15 eV per atom
! Density of states at the Fermi level ... 0.73 states/eV/atom
! Calculated density ... 8.40 g cm⁻³



! Ca2TlTe GGA-PBEsol optimized geometry; values from VASP
&SYSTEM
  ibrav = 0, nat = 4, ntyp = 3
/
ATOMIC_SPECIES
Ca 40.08 Ca.upf
Tl 204.38 Tl.upf
Te 127.60 Te.upf
ATOMIC_POSITIONS crystal
Ca 0.250 0.250 0.250
Ca 0.750 0.750 0.750
Tl 0.000 0.000 0.000
Te 0.500 0.500 0.500
CELL_PARAMETERS angstrom
0.000 3.846 3.846
3.846 0.000 3.846
3.846 3.846 0.000
! Calculated total energy ... -3.32 eV per atom
! Offset from the most stable computed form ... 0.173 eV/atom
! Density of states at the Fermi level ... 0.68 states/eV/atom
! Calculated density ... 6.02 g cm⁻³



! CaTe2W GGA-PBEsol optimized geometry; values from VASP
&SYSTEM
  ibrav = 0, nat = 4, ntyp = 3
/
ATOMIC_SPECIES
Ca 40.08 Ca.upf
Te 127.60 Te.upf
W 183.84 W.upf
ATOMIC_POSITIONS crystal
Ca 0.000 0.000 0.000
Te 0.000 0.500 0.500
Te 0.500 0.000 0.500
W 0.500 0.500 0.000
CELL_PARAMETERS angstrom
5.016 0.000 0.000
0.000 5.016 0.000
0.000 0.000 3.461
! Calculated total energy ... -5.67 eV per atom
! Offset from the most stable computed form ... 0.235 eV/atom
! Density of states at the Fermi level ... 0.94 states/eV/atom
! Calculated density ... 9.14 g cm⁻³



! CaTe2W GGA-PBEsol optimized geometry; values from VASP
&SYSTEM
  ibrav = 0, nat = 4, ntyp = 3
/
ATOMIC_SPECIES
Ca 40.08 Ca.upf
Te 127.60 Te.upf
W 183.84 W.upf
ATOMIC_POSITIONS crystal
Ca 0.000 0.000 0.000
Te 0.236 0.236 0.236
Te 0.764 0.764 0.764
W 0.500 0.500 0.500
CELL_PARAMETERS angstrom
2.118 1.223 6.452
-2.118 1.223 6.452
0.000 -2.446 6.452
! Calculated total energy ... -5.91 eV per atom
! Offset from the most stable computed form ... 0.000 eV/atom
! Density of states at the Fermi level ... 0.40 states/eV/atom
! Calculated density ... 7.94 g cm⁻³



! CaTeW2 GGA-PBEsol optimized geometry; values from VASP
&SYSTEM
  ibrav = 0, nat = 4, ntyp = 3
/
ATOMIC_SPECIES
Ca 40.08 Ca.upf
Te 127.60 Te.upf
W 183.84 W.upf
ATOMIC_POSITIONS crystal
Ca 0.000 0.000 0.000
Te 0.000 0.000 0.500
W 0.500 0.500 0.306
W 0.500 0.500 0.694
CELL_PARAMETERS angstrom
3.578 0.000 0.000
0.000 3.578 0.000
0.000 0.000 6.408
! Calculated total energy ... -7.39 eV per atom
! Density of states at the Fermi level ... 0.58 states/eV/atom
! Calculated density ... 10.83 g cm⁻³



! CaTe2W GGA-PBEsol optimized geometry; values from VASP
&SYSTEM
  ibrav = 0, nat = 4, ntyp = 3
/
ATOMIC_SPECIES
Ca 40.08 Ca.upf
Te 127.60 Te.upf
W 183.84 W.upf
ATOMIC_POSITIONS crystal
Ca 0.000 0.000 0.000
Te 0.500 0.500 0.285
Te 0.500 0.500 0.715
W 0.000 0.000 0.500
CELL_PARAMETERS angstrom
3.411 0.000 0.000
0.000 3.411 0.000
0.000 0.000 7.531
! Calculated total energy ... -5.79 eV per atom
! Offset from the most stable computed form ... 0.117 eV/atom
! Density of states at the Fermi level ... 0.83 states/eV/atom
! Calculated density ... 9.08 g cm⁻³